Record 1
CoNi8Ir2 | PBE-GGA | optimized geometry

Final energy ... -6.443 eV/atom
Formation energy ... 0.427 kcal/mol of atoms
DOS at the Fermi energy ... 35.79 states/eV per cell
Total moment ... 7.582 μB/f.u.

a b c (Å): 12.9456 3.6046 5.7199
angles (deg): 90.00 105.93 90.00
Space group C2/m (No. 12)
Inequivalent atoms, fractional coordinates:
1 Co 0.0000 0.0000 0.0000 x2
2 Ni 0.0444 0.5000 0.7301 x4
3 Ni 0.0869 0.0000 0.4473 x4
4 Ni 0.1318 0.5000 0.1765 x4
5 Ni 0.1791 0.0000 0.9136 x4
6 Ir 0.2247 0.5000 0.6401 x4


Record 2
Co2Ni7Ir2 | PBE-GGA | optimized geometry

Final energy ... -6.463 eV/atom
Formation energy ... 2.735 kcal/mol of atoms
DOS at the Fermi energy ... 15.72 states/eV per cell
Total moment ... 9.211 μB/f.u.

a b c (Å): 4.4060 4.4137 7.4468
angles (deg): 92.65 97.21 113.52
Space group P-1 (No. 2)
Inequivalent atoms, fractional coordinates:
1 Co 0.0210 0.2712 0.0874 x2
2 Ni 0.0000 0.5000 0.5000 x1
3 Ni 0.0788 0.8043 0.2412 x2
4 Ni 0.4360 0.7037 0.7549 x2
5 Ni 0.4704 0.2339 0.9156 x2
6 Ir 0.3478 0.1694 0.5611 x2


Record 3
Co5Ni8Ir | PBE-GGA | optimized geometry

Final energy ... -6.310 eV/atom
Formation energy ... 3.790 kcal/mol of atoms
Energy above the lowest structure with this stoichiometry ... 0.0 meV per atom
DOS at the Fermi energy ... 16.71 states/eV per cell
Total moment ... 14.814 μB/f.u.

a b c (Å): 5.9663 6.0525 6.1027
angles (deg): 116.99 94.90 116.06
Space group P1 (No. 1)
Inequivalent atoms, fractional coordinates:
1 Co 0.0000 0.0000 0.0000 x1
2 Co 0.0226 0.1748 0.4731 x1
3 Co 0.5626 0.8570 0.2420 x1
4 Co 0.5930 0.1350 0.7204 x1
5 Co 0.8646 0.4964 0.6484 x1
6 Ni 0.0832 0.3851 0.9194 x1
7 Ni 0.3151 0.8495 0.8968 x1
8 Ni 0.3890 0.1691 0.3539 x1
9 Ni 0.4495 0.3596 0.0697 x1
10 Ni 0.5212 0.5623 0.7942 x1
11 Ni 0.7591 0.7780 0.5437 x1
12 Ni 0.7748 0.2517 0.1728 x1
13 Ni 0.9307 0.6930 0.1621 x1
14 Ir 0.2616 0.5951 0.4185 x1


Record 4
CoNi2Ir | PBE-GGA | optimized geometry

Final energy ... -6.750 eV/atom
Formation energy ... 3.057 kcal/mol of atoms
Energy above the lowest structure with this stoichiometry ... 107.4 meV per atom
DOS at the Fermi energy ... 5.95 states/eV per cell
Total moment ... 4.077 μB/f.u.

a b c (Å): 2.9833 2.9833 5.4162
angles (deg): 90.00 90.00 90.00
Space group P4mm (No. 99)
Inequivalent atoms, fractional coordinates:
1 Co 0.0000 0.0000 0.0000 x1
2 Ni 0.0000 0.0000 0.5454 x1
3 Ni 0.5000 0.5000 0.7711 x1
4 Ir 0.5000 0.5000 0.2733 x1